Computed, not measured: InReN2 after structural relaxation at the PBE level of DFT.

Properties
Formation energy from raw total energies in kJ/mol of atoms: 21.9
Theoretical density in g/cm³: 10.34
DFT total energy in eV per atom: -7.73
Size of the total moment in μB/f.u.: 0.00
Density of states at the Fermi level in states/eV/f.u.: 1.34

Lattice parameters (Å, degrees): 2.959 2.959 20.896 90.00 90.00 120.00
Sites, in units of the cell vectors:
In: 0.000 0.000 0.000
In: 0.333 0.667 0.667
In: 0.667 0.333 0.333
Re: 0.000 0.000 0.500
Re: 0.333 0.667 0.167
Re: 0.667 0.333 0.833
N: 0.000 0.000 0.110
N: 0.000 0.000 0.890
N: 0.333 0.667 0.557
N: 0.333 0.667 0.776
N: 0.667 0.333 0.224
N: 0.667 0.333 0.443